No. 1
Compound: CaPd3Pb
Source: the Alexandria database
Functional: PBE-GGA
Structure: relaxed

Lattice parameters (Å, degrees): 5.0917 5.0917 5.0917 90.00 90.00 90.00
With the nearest neighbours (Å) after each atom.
Sites, in units of the cell vectors:
Pb 0.0000 0.0000 0.0000  6 Pd 2.55
Ca 0.5000 0.5000 0.5000  12 Pd 3.60
Pd 0.0000 0.5000 0.0000  2 Pb 2.55
Pd 0.0000 0.0000 0.5000  2 Pb 2.55
Pd 0.5000 0.0000 0.0000  2 Pb 2.55

Computed properties:
energy of formation = 0.073 eV per atom
VASP energy = -4.185 eV per atom
E above lowest polymorph = 48.4 kJ/mol of atoms
DOS at the Fermi energy = 1.71 states/eV per cell
symmetry = No. 221
total magnetic moment = 0.00 μB per formula unit

---

No. 2
Compound: CaPd8Pb2
Source: the Alexandria database
Functional: PBE-GGA
Structure: relaxed

Lattice parameters (Å, degrees): 5.0386 7.6070 7.6070 119.27 107.25 107.25
With the nearest neighbours (Å) after each atom.
Sites, in units of the cell vectors:
Ca 0.5000 0.0000 0.0000  8 Pd 2.84-3.07
Pd 0.8522 0.9044 0.6698  5 Pd 2.69-2.96, 2 Pb 2.87
Pd 0.8522 0.6698 0.9044  5 Pd 2.69-2.96, 2 Pb 2.87
Pd 0.3043 0.5616 0.5616  6 Pd 2.63-2.78, 2 Pb 2.81, 1 Ca 2.91
Pd 0.5000 0.7835 0.2165  2 Pb 2.81, 1 Ca 2.84, 4 Pd 2.86-2.96
Pd 0.5000 0.2165 0.7835  2 Pb 2.81, 1 Ca 2.84, 4 Pd 2.86-2.96
Pd 0.6957 0.4384 0.4384  6 Pd 2.63-2.78, 2 Pb 2.81, 1 Ca 2.91
Pd 0.1478 0.3302 0.0956  5 Pd 2.69-2.96, 2 Pb 2.87
Pd 0.1478 0.0956 0.3302  5 Pd 2.69-2.96, 2 Pb 2.87
Pb 0.0000 0.3108 0.6892  8 Pd 2.81-2.87
Pb 0.0000 0.6892 0.3108  8 Pd 2.81-2.87

Computed properties:
energy of formation = -0.236 eV per atom
VASP energy = -4.869 eV per atom
DOS at the Fermi energy = 5.24 states/eV per cell
symmetry = No. 12
total magnetic moment = 0.00 μB per formula unit

---

No. 3
Compound: CaPd2Pb
Source: the Alexandria database
Functional: PBE-GGA
Structure: relaxed

Lattice parameters (Å, degrees): 4.5615 6.1626 4.5772 132.31 89.99 90.00
With the nearest neighbours (Å) after each atom.
Sites, in units of the cell vectors:
Ca 0.5000 0.5000 0.0000  4 Pd 2.94-2.95, 2 Pb 3.08
Pd 0.0008 0.7747 0.5494  2 Pb 2.74-2.75, 2 Ca 2.94-2.95, 1 Pd 3.05
Pd 0.9992 0.2253 0.4506  2 Pb 2.74-2.75, 2 Ca 2.94-2.95, 1 Pd 3.05
Pb 0.5000 0.0000 0.0000  4 Pd 2.74-2.75

Computed properties:
energy of formation = -0.131 eV per atom
VASP energy = -4.155 eV per atom
DOS at the Fermi energy = 1.49 states/eV per cell
symmetry = No. 65
total magnetic moment = 0.00 μB per formula unit

---

No. 4
Compound: CaPdPb3
Source: the Alexandria database
Functional: PBE-GGA
Structure: relaxed

Lattice parameters (Å, degrees): 5.7610 5.7610 5.7610 90.00 90.00 90.00
With the nearest neighbours (Å) after each atom.
Sites, in units of the cell vectors:
Pb 0.0000 0.5000 0.0000  2 Ca 2.88
Pb 0.0000 0.0000 0.5000  2 Ca 2.88
Pb 0.5000 0.0000 0.0000  2 Ca 2.88
Ca 0.0000 0.0000 0.0000  6 Pb 2.88
Pd 0.5000 0.5000 0.5000  12 Pb 4.07

Computed properties:
energy of formation = 0.882 eV per atom
VASP energy = -2.782 eV per atom
DOS at the Fermi energy = 4.00 states/eV per cell
symmetry = No. 221
total magnetic moment = 0.00 μB per formula unit

---

No. 5
Compound: CaPd2Pb
Source: the Alexandria database
Functional: PBE-GGA
Structure: relaxed

Lattice parameters (Å, degrees): 6.3651 6.3651 7.7210 65.66 65.66 90.00
With the nearest neighbours (Å) after each atom.
Sites, in units of the cell vectors:
Pb 0.0000 0.0000 0.0000  4 Pd 2.67
Pb 0.7500 0.2500 0.5000  4 Pd 2.67
Ca 0.5000 0.5000 0.0000  4 Pd 2.82
Ca 0.2500 0.7500 0.5000  4 Pd 2.82
Pd 0.6448 0.1250 0.2500  2 Pb 2.67, 2 Ca 2.82
Pd 0.1052 0.6250 0.2500  2 Pb 2.67, 2 Ca 2.82
Pd 0.3750 0.3552 0.7500  2 Pb 2.67, 2 Ca 2.82
Pd 0.8750 0.8948 0.7500  2 Pb 2.67, 2 Ca 2.82

Computed properties:
energy of formation = 0.023 eV per atom
VASP energy = -4.001 eV per atom
DOS at the Fermi energy = 1.99 states/eV per cell
symmetry = No. 122
total magnetic moment = 0.00 μB per formula unit

---

No. 6
Compound: Ca2PdPb8
Source: the Alexandria database
Functional: PBE-GGA
Structure: relaxed

Lattice parameters (Å, degrees): 4.9512 4.9512 13.0944 90.00 90.00 90.00
With the nearest neighbours (Å) after each atom.
Sites, in units of the cell vectors:
Ca 0.0000 0.0000 0.3117  12 Pb 3.48-3.50
Ca 0.0000 0.0000 0.6883  12 Pb 3.48-3.50
Pd 0.0000 0.0000 0.0000  8 Pb 2.97
Pb 0.0000 0.5000 0.5000  4 Ca 3.49, 8 Pb 3.50-3.51
Pb 0.5000 0.0000 0.5000  4 Ca 3.49, 8 Pb 3.50-3.51
Pb 0.5000 0.5000 0.3099  8 Pb 3.46-3.51, 4 Ca 3.50
Pb 0.5000 0.5000 0.6901  8 Pb 3.46-3.51, 4 Ca 3.50
Pb 0.0000 0.5000 0.1249  2 Pd 2.97, 1 Pb 3.27
Pb 0.5000 0.0000 0.1249  2 Pd 2.97, 1 Pb 3.27
Pb 0.0000 0.5000 0.8751  2 Pd 2.97, 1 Pb 3.27
Pb 0.5000 0.0000 0.8751  2 Pd 2.97, 1 Pb 3.27

Computed properties:
energy of formation = -0.270 eV per atom
VASP energy = -3.803 eV per atom
DOS at the Fermi energy = 6.22 states/eV per cell
symmetry = No. 123
total magnetic moment = 0.00 μB per formula unit

---

No. 7
Compound: Ca2PdPb2
Source: the Alexandria database
Functional: PBE-GGA
Structure: relaxed

Lattice parameters (Å, degrees): 7.5377 7.5377 5.1343 90.00 90.00 90.00
With the nearest neighbours (Å) after each atom.
Sites, in units of the cell vectors:
Pb 0.1552 0.6552 0.5000  6 Ca 3.23-3.50, 1 Pb 3.31
Pb 0.6552 0.8448 0.5000  6 Ca 3.23-3.50, 1 Pb 3.31
Pb 0.8448 0.3448 0.5000  6 Ca 3.23-3.50, 1 Pb 3.31
Pb 0.3448 0.1552 0.5000  6 Ca 3.23-3.50, 1 Pb 3.31
Ca 0.3390 0.8390 0.0000  2 Pd 2.83
Ca 0.8390 0.6610 0.0000  2 Pd 2.83
Ca 0.6610 0.1610 0.0000  2 Pd 2.83
Ca 0.1610 0.3390 0.0000  2 Pd 2.83
Pd 0.0000 0.0000 0.0000  4 Ca 2.83
Pd 0.5000 0.5000 0.0000  4 Ca 2.83

Computed properties:
energy of formation = -0.229 eV per atom
VASP energy = -3.551 eV per atom
E above lowest polymorph = 32.7 kJ/mol of atoms
DOS at the Fermi energy = 3.19 states/eV per cell
symmetry = No. 127
total magnetic moment = 0.00 μB per formula unit

---

No. 8
Compound: CaPd14Pb
Source: the Alexandria database
Functional: PBE-GGA
Structure: relaxed

Lattice parameters (Å, degrees): 5.7134 5.7134 8.0103 90.00 90.00 89.99
With the nearest neighbours (Å) after each atom.
Sites, in units of the cell vectors:
Ca 0.3750 0.3750 0.5000  12 Pd 2.86-2.90
Pd 0.8750 0.8750 0.0000  12 Pd 2.79-2.86
Pd 0.3750 0.3750 0.0000  12 Pd 2.80-2.86
Pd 0.8750 0.3750 0.5000  2 Ca 2.86, 2 Pb 2.86, 8 Pd 2.89-2.90
Pd 0.8750 0.3750 0.0000  12 Pd 2.79-2.86
Pd 0.3750 0.8750 0.5000  2 Ca 2.86, 2 Pb 2.86, 8 Pd 2.89-2.90
Pd 0.3750 0.8750 0.0000  12 Pd 2.79-2.86
Pd 0.6259 0.1241 0.2411  10 Pd 2.79-2.90, 1 Pb 2.89, 1 Ca 2.90
Pd 0.6259 0.1241 0.7589  10 Pd 2.79-2.90, 1 Pb 2.89, 1 Ca 2.90
Pd 0.1241 0.6259 0.2411  10 Pd 2.79-2.90, 1 Pb 2.89, 1 Ca 2.90
Pd 0.1241 0.6259 0.7589  10 Pd 2.79-2.90, 1 Pb 2.89, 1 Ca 2.90
Pd 0.6259 0.6259 0.2411  10 Pd 2.79-2.89, 1 Pb 2.89, 1 Ca 2.90
Pd 0.6259 0.6259 0.7589  10 Pd 2.79-2.89, 1 Pb 2.89, 1 Ca 2.90
Pd 0.1241 0.1241 0.2411  10 Pd 2.79-2.89, 1 Pb 2.89, 1 Ca 2.90
Pd 0.1241 0.1241 0.7589  10 Pd 2.79-2.89, 1 Pb 2.89, 1 Ca 2.90
Pb 0.8750 0.8750 0.5000  12 Pd 2.86-2.89

Computed properties:
energy of formation = -0.172 eV per atom
VASP energy = -5.072 eV per atom
DOS at the Fermi energy = 30.13 states/eV per cell
symmetry = No. 123
total magnetic moment = 0.00 μB per formula unit

---

No. 9
Compound: CaPd2Pb2
Source: the Alexandria database
Functional: PBE-GGA
Structure: relaxed

Lattice parameters (Å, degrees): 4.9919 4.9919 6.2572 66.49 66.49 90.00
With the nearest neighbours (Å) after each atom.
Sites, in units of the cell vectors:
Pb 0.3559 0.3559 0.2882  4 Pd 2.73, 1 Pb 2.98
Pb 0.6441 0.6441 0.7118  4 Pd 2.73, 1 Pb 2.98
Ca 0.0000 0.0000 0.0000  8 Pd 3.59, 10 Pb 3.68-3.83
Pd 0.7500 0.2500 0.5000  4 Pb 2.73
Pd 0.2500 0.7500 0.5000  4 Pb 2.73

Computed properties:
energy of formation = -0.369 eV per atom
VASP energy = -4.330 eV per atom
DOS at the Fermi energy = 2.20 states/eV per cell
symmetry = No. 139
total magnetic moment = 0.00 μB per formula unit

---

No. 10
Compound: Ca3Pd7Pb2
Source: the Alexandria database
Functional: PBE-GGA
Structure: relaxed

Lattice parameters (Å, degrees): 4.9147 4.7663 10.9831 102.53 90.00 90.00
With the nearest neighbours (Å) after each atom.
Sites, in units of the cell vectors:
Ca 0.5000 0.5000 0.0000  8 Pd 2.89-2.93
Ca 0.5000 0.6650 0.3301  4 Pd 2.73-3.05
Ca 0.5000 0.3350 0.6699  4 Pd 2.73-3.05
Pd 0.0000 0.4254 0.8507  2 Pb 2.81, 3 Pd 2.87-3.12, 4 Ca 2.93-3.13
Pd 0.0000 0.7204 0.4407  2 Pd 2.70, 2 Ca 2.73, 3 Pb 2.89-2.91
Pd 0.0000 0.0000 0.0000  8 Pd 2.87-2.95, 2 Pb 3.09
Pd 0.0000 0.5746 0.1493  2 Pb 2.81, 3 Pd 2.87-3.12, 4 Ca 2.93-3.13
Pd 0.5000 0.0765 0.1530  2 Pb 2.85, 4 Ca 2.89-3.05, 2 Pd 2.95
Pd 0.5000 0.9235 0.8470  2 Pb 2.85, 4 Ca 2.89-3.05, 2 Pd 2.95
Pd 0.0000 0.2796 0.5593  2 Pd 2.70, 2 Ca 2.73, 3 Pb 2.89-2.91
Pb 0.0000 0.8559 0.7117  8 Pd 2.81-3.09
Pb 0.0000 0.1441 0.2883  8 Pd 2.81-3.09

Computed properties:
energy of formation = -0.496 eV per atom
VASP energy = -4.643 eV per atom
DOS at the Fermi energy = 4.92 states/eV per cell
symmetry = No. 65
total magnetic moment = 0.00 μB per formula unit

---

No. 11
Compound: Ca2Pd3Pb4
Source: the Alexandria database
Functional: PBE-GGA
Structure: relaxed

Lattice parameters (Å, degrees): 5.9798 5.9798 7.8125 100.69 100.69 121.02
With the nearest neighbours (Å) after each atom.
Sites, in units of the cell vectors:
Ca 0.6186 0.6186 0.2372  6 Pd 3.41-3.45, 1 Ca 3.43, 8 Pb 3.44-3.64
Ca 0.3814 0.3814 0.7628  6 Pd 3.41-3.45, 1 Ca 3.43, 8 Pb 3.44-3.64
Pd 0.5000 0.0000 0.0000  4 Pb 2.87, 4 Pd 2.94-2.99
Pd 0.0000 0.0000 0.0000  4 Pb 2.85, 4 Pd 2.99
Pd 0.0000 0.5000 0.0000  4 Pb 2.87, 4 Pd 2.94-2.99
Pb 0.0041 0.6790 0.6831  3 Pd 2.85-2.87
Pb 0.6790 0.0041 0.6831  3 Pd 2.85-2.87
Pb 0.9959 0.3210 0.3169  3 Pd 2.85-2.87
Pb 0.3210 0.9959 0.3169  3 Pd 2.85-2.87

Computed properties:
energy of formation = -0.425 eV per atom
VASP energy = -4.248 eV per atom
DOS at the Fermi energy = 5.00 states/eV per cell
symmetry = No. 69
total magnetic moment = 0.00 μB per formula unit

---

No. 12
Compound: CaPd4Pb5
Source: the Alexandria database
Functional: PBE-GGA
Structure: relaxed

Lattice parameters (Å, degrees): 4.8230 6.9484 7.6181 94.34 108.45 90.00
With the nearest neighbours (Å) after each atom.
Sites, in units of the cell vectors:
Ca 0.5000 0.0000 0.0000  6 Pd 2.97-3.00
Pd 0.6619 0.7620 0.3237  7 Pb 2.85-3.15, 1 Ca 2.97
Pd 0.9974 0.2565 0.9949  6 Pb 2.88-3.06, 2 Ca 3.00
Pd 0.3382 0.2380 0.6763  7 Pb 2.85-3.15, 1 Ca 2.97
Pd 0.0026 0.7435 0.0051  6 Pb 2.88-3.06, 2 Ca 3.00
Pb 0.1648 0.0128 0.3296  5 Pd 2.85-3.06
Pb 0.1704 0.5016 0.3408  5 Pd 2.91-3.15
Pb 0.8296 0.4984 0.6592  5 Pd 2.91-3.15
Pb 0.5000 0.5000 0.0000  6 Pd 2.85-2.94
Pb 0.8352 0.9872 0.6704  5 Pd 2.85-3.06

Computed properties:
energy of formation = -0.313 eV per atom
VASP energy = -4.445 eV per atom
DOS at the Fermi energy = 4.05 states/eV per cell
symmetry = No. 12
total magnetic moment = 0.00 μB per formula unit